{"formula": "HgPRh", "functional": "PBE", "state": "optimized geometry", "cell": [[3.227, 0.000, 0.000], [-1.614, 2.795, 0.000], [0.000, 0.000, 6.161]], "species": ["Hg", "P", "Rh"], "frac_coords": [[0.000, 0.000, 0.000], [0.000, 0.000, 0.580], [0.333, 0.667, 0.369]]}

=====

{"formula": "HgP2Rh", "functional": "PBE", "state": "optimized geometry", "cell": [[5.413, 0.000, 0.000], [0.000, 7.120, 0.000], [0.000, 0.000, 7.271]], "species": ["Hg", "Hg", "Hg", "Hg", "P", "P", "P", "P", "P", "P", "P", "P", "Rh", "Rh", "Rh", "Rh"], "frac_coords": [[0.000, 0.000, 0.000], [0.000, 0.500, 0.500], [0.500, 0.000, 0.500], [0.500, 0.500, 0.000], [0.000, 0.250, 0.250], [0.000, 0.250, 0.750], [0.000, 0.750, 0.250], [0.000, 0.750, 0.750], [0.500, 0.250, 0.250], [0.500, 0.250, 0.750], [0.500, 0.750, 0.250], [0.500, 0.750, 0.750], [0.000, 0.000, 0.500], [0.000, 0.500, 0.000], [0.500, 0.000, 0.000], [0.500, 0.500, 0.500]]}

=====

{"formula": "HgPRh", "functional": "PBE", "state": "optimized geometry", "cell": [[2.959, 0.000, 0.000], [0.000, 2.959, 0.000], [0.000, 0.000, 6.052]], "species": ["Hg", "P", "Rh"], "frac_coords": [[0.000, 0.000, 0.000], [0.000, 0.000, 0.564], [0.500, 0.500, 0.367]]}

=====

{"formula": "HgP2Rh", "functional": "PBE", "state": "optimized geometry", "cell": [[3.338, 0.000, 0.000], [0.000, 4.326, 0.000], [-1.528, 0.000, 5.288]], "species": ["Hg", "P", "P", "Rh"], "frac_coords": [[0.000, 0.000, 0.000], [0.305, 0.500, 0.641], [0.695, 0.500, 0.359], [0.500, 0.000, 0.500]]}

=====

{"formula": "HgPRh", "functional": "PBE", "state": "optimized geometry", "cell": [[3.259, 0.000, 0.000], [-1.629, 2.822, 0.000], [0.000, 0.000, 18.357]], "species": ["Hg", "Hg", "Hg", "P", "P", "P", "Rh", "Rh", "Rh"], "frac_coords": [[0.000, 0.000, 0.000], [0.333, 0.667, 0.667], [0.667, 0.333, 0.333], [0.000, 0.000, 0.142], [0.333, 0.667, 0.808], [0.667, 0.333, 0.475], [0.000, 0.000, 0.544], [0.333, 0.667, 0.211], [0.667, 0.333, 0.877]]}

=====

{"formula": "HgP2Rh", "functional": "PBE", "state": "optimized geometry", "cell": [[3.049, 0.000, 0.000], [0.000, 3.049, 0.000], [0.000, 0.000, 7.508]], "species": ["Hg", "P", "P", "Rh"], "frac_coords": [[0.000, 0.000, 0.000], [0.000, 0.000, 0.537], [0.500, 0.500, 0.378], [0.500, 0.500, 0.707]]}

=====

{"formula": "HgPRh", "functional": "PBE", "state": "optimized geometry", "cell": [[8.056, 0.000, 0.000], [0.000, 3.077, 0.000], [-0.578, 0.000, 4.727]], "species": ["Hg", "Hg", "P", "P", "Rh", "Rh"], "frac_coords": [[0.000, 0.000, 0.000], [0.500, 0.500, 0.000], [0.254, 0.500, 0.472], [0.754, 0.000, 0.472], [0.465, 0.000, 0.497], [0.965, 0.500, 0.497]]}

=====

{"formula": "HgP2RuRh", "functional": "PBE", "state": "optimized geometry", "cell": [[4.450, 0.000, 0.000], [0.000, 4.450, 0.000], [0.000, 0.000, 5.167]], "species": ["Hg", "P", "P", "Ru", "Rh"], "frac_coords": [[0.000, 0.000, 0.000], [0.000, 0.500, 0.500], [0.500, 0.000, 0.500], [0.500, 0.500, 0.000], [0.000, 0.000, 0.500]]}

=====

Record order is preserved below.
Calculated density: 10.0; 8.7; 10.5; 7.9; 9.9; 8.7; 9.5; 7.6 g/cm3
Record order is preserved below.
E: -4.645; -4.249; -4.572; -4.606; -4.689; -4.476; -4.431; -4.538 eV per atom
Record order is preserved below.
ΔE_f: -290; 370; -218; 12; -334; 142; -77; 1012 meV per atom